Entry 1:
DFT (PBE) results for an optimized crystal structure of ZnBiSb.

Unit cell a=5.1122 b=5.1122 c=5.1122 alpha=60.00 beta=60.00 gamma=60.00
Closest atoms and distances in Å follow each position.
Element x y z (fractional)
Zn1 0.0000 0.0000 0.0000  4 Sb 3.13
Bi1 0.5000 0.5000 0.5000  4 Sb 3.13
Sb1 0.7500 0.7500 0.7500  4 Bi 3.13, 4 Zn 3.13

Summary:
Symmetry: F-43m, No. 216
Final energy: -2.896 eV per atom
Calculated volume: 94.5 Å³/cell

---

Entry 2:
DFT (PBE) results for an optimized crystal structure of ZnBi2Sb.

Unit cell a=5.3868 b=5.3868 c=5.3868 alpha=60.00 beta=60.00 gamma=60.00
Closest atoms and distances in Å follow each position.
Element x y z (fractional)
Zn1 0.0000 0.0000 0.0000  4 Bi 3.30, 4 Sb 3.30
Bi1 0.2500 0.2500 0.2500  4 Bi 3.30, 4 Zn 3.30
Bi2 0.5000 0.5000 0.5000  4 Sb 3.30, 4 Bi 3.30
Sb1 0.7500 0.7500 0.7500  4 Bi 3.30, 4 Zn 3.30

Summary:
Symmetry: F-43m, No. 216
Final energy: -3.140 eV per atom
Calculated volume: 110.5 Å³/cell

---

Entry 3:
DFT (PBE) results for an optimized crystal structure of Zr3Bi4Sb4.

Unit cell a=8.3840 b=8.3840 c=8.3840 alpha=129.90 beta=129.90 gamma=73.57
Closest atoms and distances in Å follow each position.
Element x y z (fractional)
Zr1 0.0000 0.0000 0.0000  4 Sb 2.86
Zr2 0.2500 0.7500 0.5000  4 Sb 2.84
Zr3 0.7500 0.2500 0.5000  4 Sb 2.84
Bi1 0.0000 0.5000 0.5000  4 Zr 3.36-3.55, 4 Sb 3.48
Bi2 0.3752 0.3752 0.0000  4 Sb 3.26-3.34, 1 Bi 3.35
Bi3 0.5000 0.0000 0.5000  4 Zr 3.36-3.55, 4 Sb 3.48
Bi4 0.6248 0.6248 0.0000  4 Sb 3.26-3.34, 1 Bi 3.35
Sb1 0.0033 0.6577 0.0000  3 Zr 2.84-2.86
Sb2 0.3423 0.3423 0.3456  3 Zr 2.84-2.86
Sb3 0.6577 0.0033 0.0000  3 Zr 2.84-2.86
Sb4 0.9967 0.9967 0.6544  3 Zr 2.84-2.86

Summary:
Symmetry: I-42m, No. 121
Final energy: -5.280 eV per atom
Calculated volume: 338.5 Å³/cell